First-principles (GGA-PBEsol) data for a relaxed Re3Mo2 crystal, as listed in Alexandria via LeMat-Bulk.

## Properties
Density, g/cm3: 16.56
Calculated total energy, eV/atom: -12.6346
Space group: Cmm2 (35)
Energy above the most stable polymorph in this dataset, meV per atom: 0.0
DFT formation energy, eV per atom: 0.07

```
Re3Mo2
1.0
-4.646 1.084 -1.456
-2.884 -8.631 2.776
-1.911 3.439 8.662
Re Mo
18 12
Cartesian
-4.407 -3.534 2.914
-2.682 -1.365 3.242
-0.698 0.333 2.443
-4.114 -5.520 8.989
-4.452 -3.281 7.463
-0.888 -2.026 1.292
-6.642 -4.125 9.555
-4.088 0.432 4.848
-3.924 -3.161 10.140
-3.252 1.501 7.220
-7.125 -2.717 3.682
-5.339 -4.543 5.138
-5.571 2.044 6.494
-2.813 0.020 0.423
-6.932 -0.313 4.854
-5.020 -0.577 7.072
-6.188 -5.611 2.761
-3.868 -6.150 3.489
-6.446 -3.088 1.183
-8.033 -4.806 4.968
-3.452 -2.503 0.591
-7.641 0.065 7.343
-6.321 -5.609 7.434
-6.773 -2.733 6.722
-5.013 -0.828 2.525
-4.685 -2.062 5.002
-5.998 -1.602 9.388
-6.054 1.783 3.559
-4.645 1.084 -1.455
-3.129 1.504 2.546
```